(1)
The following is a DFT calculation (GGA-PBE) of crystalline NbNiOs2 at its relaxed geometry.

extended XYZ file:
```
16
Lattice="6.1655 0.0000 0.0000 0.0000 6.1655 0.0000 0.0000 0.0000 6.1655" Properties=species:S:1:pos:R:3 pbc="T T T"
Nb 0.0000 0.0000 0.0000
Nb 0.0000 3.0828 3.0828
Nb 3.0828 0.0000 3.0828
Nb 3.0828 3.0828 0.0000
Ni 0.0000 0.0000 3.0828
Ni 0.0000 3.0828 0.0000
Ni 3.0828 0.0000 0.0000
Ni 3.0828 3.0828 3.0828
Os 1.5414 1.5414 1.5414
Os 1.5414 1.5414 4.6241
Os 1.5414 4.6241 1.5414
Os 1.5414 4.6241 4.6241
Os 4.6241 1.5414 1.5414
Os 4.6241 1.5414 4.6241
Os 4.6241 4.6241 1.5414
Os 4.6241 4.6241 4.6241
```

The density of states at the Fermi level comes out at 17.0 states/eV per cell. Its energy relative to the lowest polymorph listed for this composition is 1.06 eV per formula unit. The volume is 234.4 Å³ per cell. As for the formation energy: 131 meV per atom.

=====

(2)
The following is a DFT calculation (GGA-PBE) of crystalline Nb2NiOs at its relaxed geometry.

extended XYZ file:
```
4
Lattice="4.0610 0.0000 0.0000 0.0000 4.0610 0.0000 0.0000 0.0000 3.7443" Properties=species:S:1:pos:R:3 pbc="T T T"
Nb 0.0000 2.0305 0.0000
Nb 2.0305 0.0000 0.0000
Ni 0.0000 0.0000 1.8722
Os 2.0305 2.0305 1.8722
```

The density of states at the Fermi level comes out at 4.2 states/eV per cell. The volume is 61.8 Å³ per cell. As for the formation energy: -146 meV per atom.

=====

(3)
The following is a DFT calculation (GGA-PBE) of crystalline Nb2NiOs at its relaxed geometry.

extended XYZ file:
```
12
Lattice="2.8317 0.0000 0.0000 -1.4158 2.4523 0.0000 0.0000 0.0000 26.9814" Properties=species:S:1:pos:R:3 pbc="T T T"
Nb 0.0000 0.0000 6.6842
Nb 0.0000 0.0000 20.2971
Nb 0.0000 1.6349 11.3034
Nb 0.0000 1.6349 24.6718
Nb 1.4158 0.8174 2.3096
Nb 1.4158 0.8174 15.6780
Ni 0.0000 0.0000 13.4907
Ni 0.0000 1.6349 4.4969
Ni 1.4158 0.8174 22.4845
Os 0.0000 0.0000 0.0000
Os 0.0000 1.6349 17.9876
Os 1.4158 0.8174 8.9938
```

The density of states at the Fermi level comes out at 14.8 states/eV per cell. The volume is 187.4 Å³ per cell. As for the formation energy: 130 meV per atom.

=====

(4)
The following is a DFT calculation (GGA-PBE) of crystalline Nb2NiOs at its relaxed geometry.

extended XYZ file:
```
4
Lattice="3.0689 0.0000 0.0000 0.0000 3.0689 0.0000 0.0000 0.0000 6.6282" Properties=species:S:1:pos:R:3 pbc="T T T"
Nb 0.0000 0.0000 1.6072
Nb 0.0000 0.0000 5.0210
Ni 1.5345 1.5345 0.0000
Os 1.5345 1.5345 3.3141
```

The density of states at the Fermi level comes out at 5.0 states/eV per cell. The volume is 62.4 Å³ per cell. As for the formation energy: -100 meV per atom.

=====

| no. | total energy (eV/atom) |
| --- | --- |
| 1 | -9.4462 |
| 2 | -9.4340 |
| 3 | -9.1580 |
| 4 | -9.3873 |